First-principles (PBE-GGA) data for a relaxed FeP3 crystal, as listed in Alexandria via LeMat-Bulk.

Computed properties:
As for the total energy: -5.6952 eV/atom. Its space group is No. 223. The energy above the most stable polymorph in this dataset is 0.553 eV/atom. Its formation energy is 1.91 eV per formula unit.

Geometry as CIF:
```
data_FeP3
_space_group_name_H-M_alt 'P 1'
_space_group_IT_number 1
_space_group_name_Hall 'P 1'
_cell_length_a 4.749
_cell_length_b 4.749
_cell_length_c 4.749
_cell_angle_alpha 90.00
_cell_angle_beta 90.00
_cell_angle_gamma 90.00
loop_
_atom_site_label
_atom_site_type_symbol
_atom_site_fract_x
_atom_site_fract_y
_atom_site_fract_z
_atom_site_occupancy
Fe1 Fe 0.000 0.000 0.000 1
Fe2 Fe 0.500 0.500 0.500 1
P1 P 0.750 0.500 0.000 1
P2 P 0.250 0.500 0.000 1
P3 P 0.000 0.750 0.500 1
P4 P 0.000 0.250 0.500 1
P5 P 0.500 0.000 0.250 1
P6 P 0.500 0.000 0.750 1
```



First-principles (PBE-GGA) data for a relaxed Fe3P5 crystal, as listed in Alexandria via LeMat-Bulk.

Computed properties:
As for the total energy: -6.6434 eV/atom. Its space group is No. 8. The energy above the most stable polymorph in this dataset is 0.000 eV/atom. Its formation energy is -0.71 eV per formula unit.

Geometry as CIF:
```
data_Fe3P5
_space_group_name_H-M_alt 'P 1'
_space_group_IT_number 1
_space_group_name_Hall 'P 1'
_cell_length_a 6.553
_cell_length_b 6.553
_cell_length_c 5.876
_cell_angle_alpha 80.61
_cell_angle_beta 80.61
_cell_angle_gamma 121.10
loop_
_atom_site_label
_atom_site_type_symbol
_atom_site_fract_x
_atom_site_fract_y
_atom_site_fract_z
_atom_site_occupancy
P1 P 0.315 0.815 0.489 1
P2 P 0.796 0.296 0.527 1
P3 P 0.948 0.843 0.260 1
P4 P 0.005 0.112 0.687 1
P5 P 0.364 0.651 0.872 1
P6 P 0.553 0.290 0.126 1
P7 P 0.612 0.505 0.687 1
P8 P 0.343 0.448 0.260 1
P9 P 0.790 0.053 0.126 1
P10 P 0.151 0.864 0.872 1
Fe1 Fe 0.228 0.239 0.970 1
Fe2 Fe 0.739 0.728 0.970 1
Fe3 Fe 0.936 0.436 0.853 1
Fe4 Fe 0.130 0.630 0.228 1
Fe5 Fe 0.393 0.196 0.541 1
Fe6 Fe 0.696 0.893 0.541 1
```



First-principles (PBE-GGA) data for a relaxed FeP3 crystal, as listed in Alexandria via LeMat-Bulk.

Computed properties:
As for the total energy: -6.0288 eV/atom. Its space group is No. 229. The energy above the most stable polymorph in this dataset is 0.219 eV/atom. Its formation energy is 0.58 eV per formula unit.

Geometry as CIF:
```
data_FeP3
_space_group_name_H-M_alt 'P 1'
_space_group_IT_number 1
_space_group_name_Hall 'P 1'
_cell_length_a 4.130
_cell_length_b 4.130
_cell_length_c 4.130
_cell_angle_alpha 109.51
_cell_angle_beta 109.51
_cell_angle_gamma 109.51
loop_
_atom_site_label
_atom_site_type_symbol
_atom_site_fract_x
_atom_site_fract_y
_atom_site_fract_z
_atom_site_occupancy
Fe1 Fe 0.000 0.000 0.000 1
P1 P 0.500 0.500 0.000 1
P2 P 0.000 0.500 0.500 1
P3 P 0.500 0.000 0.500 1
```



First-principles (PBE-GGA) data for a relaxed FeP3 crystal, as listed in Alexandria via LeMat-Bulk.

Computed properties:
As for the total energy: -6.2481 eV/atom. Its space group is No. 62. The energy above the most stable polymorph in this dataset is 0.000 eV/atom. Its formation energy is -0.30 eV per formula unit.

Geometry as CIF:
```
data_FeP3
_space_group_name_H-M_alt 'P 1'
_space_group_IT_number 1
_space_group_name_Hall 'P 1'
_cell_length_a 5.515
_cell_length_b 5.483
_cell_length_c 7.037
_cell_angle_alpha 90.00
_cell_angle_beta 90.00
_cell_angle_gamma 90.00
loop_
_atom_site_label
_atom_site_type_symbol
_atom_site_fract_x
_atom_site_fract_y
_atom_site_fract_z
_atom_site_occupancy
P1 P 0.112 0.930 0.750 1
P2 P 0.612 0.570 0.250 1
P3 P 0.388 0.430 0.750 1
P4 P 0.888 0.070 0.250 1
P5 P 0.635 0.178 0.919 1
P6 P 0.135 0.322 0.081 1
P7 P 0.865 0.678 0.581 1
P8 P 0.365 0.822 0.419 1
P9 P 0.365 0.822 0.081 1
P10 P 0.865 0.678 0.919 1
P11 P 0.135 0.322 0.419 1
P12 P 0.635 0.178 0.581 1
Fe1 Fe 0.507 0.817 0.750 1
Fe2 Fe 0.007 0.683 0.250 1
Fe3 Fe 0.993 0.317 0.750 1
Fe4 Fe 0.493 0.183 0.250 1
```



First-principles (PBE-GGA) data for a relaxed FeP crystal, as listed in Alexandria via LeMat-Bulk.

Computed properties:
As for the total energy: -6.9103 eV/atom. Its space group is No. 136. Its formation energy is 0.05 eV per formula unit.

Geometry as CIF:
```
data_FeP
_space_group_name_H-M_alt 'P 1'
_space_group_IT_number 1
_space_group_name_Hall 'P 1'
_cell_length_a 5.729
_cell_length_b 5.729
_cell_length_c 3.834
_cell_angle_alpha 90.00
_cell_angle_beta 90.00
_cell_angle_gamma 90.00
loop_
_atom_site_label
_atom_site_type_symbol
_atom_site_fract_x
_atom_site_fract_y
_atom_site_fract_z
_atom_site_occupancy
Fe1 Fe 0.832 0.832 0.000 1
Fe2 Fe 0.332 0.668 0.500 1
Fe3 Fe 0.668 0.332 0.500 1
Fe4 Fe 0.168 0.168 0.000 1
P1 P 0.794 0.206 0.000 1
P2 P 0.294 0.294 0.500 1
P3 P 0.706 0.706 0.500 1
P4 P 0.206 0.794 0.000 1
```



First-principles (PBE-GGA) data for a relaxed Fe5P3 crystal, as listed in Alexandria via LeMat-Bulk.

Computed properties:
As for the total energy: -7.5924 eV/atom. Its space group is No. 65. The energy above the most stable polymorph in this dataset is 0.125 eV/atom. Its formation energy is -2.20 eV per formula unit.

Geometry as CIF:
```
data_Fe5P3
_space_group_name_H-M_alt 'P 1'
_space_group_IT_number 1
_space_group_name_Hall 'P 1'
_cell_length_a 4.926
_cell_length_b 4.926
_cell_length_c 3.609
_cell_angle_alpha 90.00
_cell_angle_beta 90.00
_cell_angle_gamma 103.79
loop_
_atom_site_label
_atom_site_type_symbol
_atom_site_fract_x
_atom_site_fract_y
_atom_site_fract_z
_atom_site_occupancy
Fe1 Fe 0.000 0.000 0.000 1
Fe2 Fe 0.000 0.500 0.000 1
Fe3 Fe 0.500 0.000 0.000 1
Fe4 Fe 0.290 0.290 0.500 1
Fe5 Fe 0.710 0.710 0.500 1
P1 P 0.500 0.500 0.000 1
P2 P 0.815 0.185 0.500 1
P3 P 0.185 0.815 0.500 1
```